DFT (GGA+U) results for a geometry-optimized LiNiSnF6 structure.

Unit cell a=4.8842 b=4.8842 c=9.6890 alpha=90.00 beta=90.00 gamma=90.00
With the nearest neighbours (Å) after each atom.
Fractional coordinates of all 18 atoms:
F1 0.2949 0.2949 0.6627  1 Ni 2.04, 1 Li 2.13, 1 Sn 2.17
F2 0.7949 0.2051 0.1627  1 Ni 2.04, 1 Li 2.13, 1 Sn 2.17
Sn1 0.0000 0.0000 0.3323  6 F 2.17-2.19
Ni1 0.5000 0.5000 0.1667  6 F 2.04-2.05
Ni2 0.0000 0.0000 0.6667  6 F 2.04-2.05
F3 0.7051 0.7051 0.6627  1 Ni 2.04, 1 Li 2.13, 1 Sn 2.17
F4 0.8027 0.1973 0.5089  1 Ni 2.05, 1 Li 2.09, 1 Sn 2.19
F5 0.1973 0.8027 0.5089  1 Ni 2.05, 1 Li 2.09, 1 Sn 2.19
F6 0.6864 0.6864 0.3296  1 Ni 2.04, 1 Li 2.08, 1 Sn 2.17
F7 0.8136 0.1864 0.8296  1 Ni 2.04, 1 Li 2.08, 1 Sn 2.17
Li1 0.5000 0.5000 0.4986  6 F 2.08-2.13
Sn2 0.5000 0.5000 0.8323  6 F 2.17-2.19
F8 0.1864 0.8136 0.8296  1 Ni 2.04, 1 Li 2.08, 1 Sn 2.17
F9 0.2051 0.7949 0.1627  1 Ni 2.04, 1 Li 2.13, 1 Sn 2.17
F10 0.3136 0.3136 0.3296  1 Ni 2.04, 1 Li 2.08, 1 Sn 2.17
F11 0.3027 0.3027 0.0089  1 Ni 2.05, 1 Li 2.09, 1 Sn 2.19
Li2 0.0000 0.0000 0.9986  6 F 2.08-2.13
F12 0.6973 0.6973 0.0089  1 Ni 2.05, 1 Li 2.09, 1 Sn 2.19

DFT total energy ... -4.56 eV/atom
DOS(E_F) ... 0.31 states/eV per atom